[1]
# BaCeMoO6

A relaxed BaCeMoO6 crystal (PBE with a Hubbard U, Alexandria).

Properties
Its crystal system is trigonal. As for the final energy: -67.55 eV per cell. The value obtained for the calculated volume is 17.493 Å³ per atom. The density is 5.0 g/cm³. For the density of states at the Fermi level, the calculation gives 0.000 states/eV/atom.

Unit cell a=5.6967 b=5.6967 c=5.6018 alpha=90.00 beta=90.00 gamma=120.00
Last column: nearest neighbours and their distance in Å.
Space group P312 (No. 149)
One atom of each set of equivalent atoms:
Ba: 0.0000 0.0000 0.0000 x1  6 O 2.76
Ce: 0.3333 0.6667 0.5000 x1  6 O 2.24
Mo: 0.6667 0.3333 0.5000 x1  6 O 1.96
O: 0.3984 0.0371 0.6973 x6  1 Mo 1.96

[2]
# Ba2CeMo3O12

A relaxed Ba2CeMo3O12 crystal (PBE with a Hubbard U, Alexandria).

Properties
Its crystal system is trigonal. As for the final energy: -389.20 eV per cell. The value obtained for the calculated volume is 15.063 Å³ per atom. The density is 5.5 g/cm³. For the density of states at the Fermi level, the calculation gives 0.223 states/eV/atom.

Unit cell a=7.5400 b=7.5400 c=16.5213 alpha=90.00 beta=90.00 gamma=120.00
Last column: nearest neighbours and their distance in Å.
Space group R-3m (No. 166, hexagonal axes)
One atom of each set of equivalent atoms:
Ba: 0.0000 0.0000 0.1187 x6  3 O 2.63
Ce: 0.0000 0.0000 0.5000 x3  6 O 2.43
Mo: 0.0000 0.5000 0.0000 x9  6 O 1.92-1.97
O: 0.0168 0.5084 0.8840 x18  1 Mo 1.92
O: 0.0822 0.5411 0.3224 x18  2 Mo 1.97